No. 1
Computed, not measured: crystalline BaNaMg2Au at its relaxed geometry at the PBE level of DFT.

Values from the calculation:
- calculated total energy (eV per atom) = -2.1499
- total magnetic moment (μB per atom) = 0.052
- formation enthalpy at 0 K (meV/atom) = -208
- ΔE to the lowest computed polymorph (eV per atom) = 0.000
- calculated volume (Å³ per atom) = 31.70
- theoretical density (Mg/m³) = 4.3

Geometry as POSCAR:
```
BaNaMg2Au
1.0
5.264 0.000 0.000
0.000 5.264 0.000
0.000 0.000 5.719
Na Mg Au Ba
1 2 1 1
direct
0.000 0.000 0.500
0.000 0.500 0.000
0.500 0.000 0.000
0.000 0.000 0.000
0.500 0.500 0.500
```

---

No. 2
Computed, not measured: crystalline Li2Ga6Tc at its relaxed geometry at the PBE level of DFT.

Values from the calculation:
- calculated total energy (eV per atom) = -3.3436
- total magnetic moment (μB per atom) = 0.000
- formation enthalpy at 0 K (meV/atom) = 251
- calculated volume (Å³ per atom) = 25.14
- theoretical density (Mg/m³) = 3.9

Geometry as POSCAR:
```
Li2Ga6Tc
1.0
5.741 0.000 0.000
0.000 6.745 0.000
0.000 -3.373 5.842
Li Ga Tc
2 6 1
direct
0.500 0.667 0.333
0.500 0.333 0.667
0.302 0.000 0.257
0.302 0.743 0.743
0.698 0.000 0.743
0.698 0.743 0.000
0.698 0.257 0.257
0.302 0.257 0.000
0.000 0.000 0.000
```

---

No. 3
Computed, not measured: crystalline Nd3Co7Os2 at its relaxed geometry at the PBE level of DFT.

Values from the calculation:
- calculated total energy (eV per atom) = -7.1845
- total magnetic moment (μB per atom) = 0.529
- formation enthalpy at 0 K (meV/atom) = 24
- calculated volume (Å³ per atom) = 15.79
- theoretical density (Mg/m³) = 10.7

Geometry as POSCAR:
```
Nd3Co7Os2
1.0
4.886 0.000 1.529
2.203 4.360 1.529
-0.089 -0.055 8.854
Nd Co Os
3 7 2
direct
0.000 0.000 0.000
0.861 0.861 0.418
0.139 0.139 0.582
0.500 0.500 0.500
0.912 0.421 0.246
0.421 0.912 0.246
0.421 0.421 0.246
0.088 0.579 0.754
0.579 0.579 0.754
0.579 0.088 0.754
0.668 0.668 0.996
0.332 0.332 0.004
```

---

No. 4
Computed, not measured: crystalline CaTiO3 at its relaxed geometry at the PBE level of DFT.

Values from the calculation:
- calculated total energy (eV per atom) = -7.9563
- total magnetic moment (μB per atom) = 0.000
- calculated volume (Å³ per atom) = 12.04
- ΔE_f (raw) (eV per atom) = -3.002
- theoretical density (Mg/m³) = 3.7

Geometry as POSCAR:
```
CaTiO3
1.0
3.834 0.000 0.000
0.000 5.433 0.000
0.000 -2.717 5.781
Ca Ti O
2 2 6
direct
0.000 0.654 0.309
0.000 0.346 0.691
0.500 0.123 0.246
0.500 0.877 0.754
0.500 0.246 0.000
0.000 0.858 0.716
0.500 0.754 0.000
0.500 0.500 0.500
0.000 0.142 0.284
0.500 0.000 0.500
```

---

No. 5
Computed, not measured: crystalline InReRh3 at its relaxed geometry at the PBE level of DFT.

Values from the calculation:
- calculated total energy (eV per atom) = -5.3372
- total magnetic moment (μB per atom) = 0.116
- formation enthalpy at 0 K (meV/atom) = 2111
- ΔE to the lowest computed polymorph (eV per atom) = 1.150
- calculated volume (Å³ per atom) = 20.83
- theoretical density (Mg/m³) = 9.7

Geometry as POSCAR:
```
InReRh3
1.0
-1.874 4.298 -0.394
-2.317 -1.364 -3.861
-3.641 -1.343 2.659
Re Rh In
1 3 1
direct
0.500 0.500 0.500
0.000 0.500 0.000
0.000 0.000 0.500
0.500 0.000 0.000
0.000 0.000 0.000
```

---

No. 6
Computed, not measured: crystalline AlSiIr3 at its relaxed geometry at the PBE level of DFT.

Values from the calculation:
- calculated total energy (eV per atom) = -5.9945
- total magnetic moment (μB per atom) = 0.000
- ΔE to the lowest computed polymorph (eV per atom) = 0.721
- calculated volume (Å³ per atom) = 17.66
- ΔE_f (raw) (eV per atom) = 1.155
- theoretical density (Mg/m³) = 11.9

Geometry as POSCAR:
```
AlSiIr3
1.0
4.453 0.000 0.000
0.000 4.453 0.000
0.000 0.000 4.453
Si Ir Al
1 3 1
direct
0.500 0.500 0.500
0.000 0.500 0.000
0.000 0.000 0.500
0.500 0.000 0.000
0.000 0.000 0.000
```

---

No. 7
Computed, not measured: crystalline CoNi3H3 at its relaxed geometry at the PBE level of DFT.

Values from the calculation:
- calculated total energy (eV per atom) = -4.9071
- total magnetic moment (μB per atom) = 0.271
- ΔE to the lowest computed polymorph (eV per atom) = 0.019
- calculated volume (Å³ per atom) = 7.51
- theoretical density (Mg/m³) = 7.5

Geometry as POSCAR:
```
CoNi3H3
1.0
3.936 0.000 2.004
1.458 3.656 2.004
-0.903 -0.612 6.640
Co Ni H
2 6 6
direct
0.333 0.333 0.001
0.667 0.667 0.999
0.443 0.781 0.665
0.781 0.111 0.665
0.111 0.443 0.665
0.889 0.557 0.335
0.219 0.889 0.335
0.557 0.219 0.335
0.278 0.609 0.173
0.941 0.278 0.173
0.609 0.941 0.173
0.391 0.059 0.827
0.059 0.722 0.827
0.722 0.391 0.827
```

---

No. 8
Computed, not measured: crystalline SmCd2InSn at its relaxed geometry at the PBE level of DFT.

Values from the calculation:
- calculated total energy (eV per atom) = -2.9978
- total magnetic moment (μB per atom) = 0.000
- formation enthalpy at 0 K (meV/atom) = -340
- calculated volume (Å³ per atom) = 25.14
- theoretical density (Mg/m³) = 8.0

Geometry as POSCAR:
```
SmCd2InSn
1.0
4.818 0.000 0.000
-2.409 8.001 0.000
0.000 0.000 6.522
Sm Cd In Sn
2 4 2 2
direct
0.412 0.823 0.750
0.588 0.177 0.250
0.200 0.400 0.010
0.800 0.600 0.990
0.200 0.400 0.490
0.800 0.600 0.510
0.625 0.250 0.750
0.375 0.750 0.250
0.000 0.000 0.000
0.000 0.000 0.500
```

---

No. 9
Computed, not measured: crystalline POsS at its relaxed geometry at the PBE level of DFT.

Values from the calculation:
- calculated total energy (eV per atom) = -6.8830
- total magnetic moment (μB per atom) = 0.000
- calculated volume (Å³ per atom) = 18.72
- ΔE_f (raw) (eV per atom) = 0.039
- theoretical density (Mg/m³) = 7.5

Geometry as POSCAR:
```
POsS
1.0
-2.445 0.865 1.650
0.586 -3.331 -0.245
3.844 1.974 4.598
P Os S
1 1 1
direct
0.308 0.695 0.744
0.552 0.187 0.492
0.156 0.400 0.259
```

---

No. 10
Computed, not measured: crystalline Ca2GaIrN at its relaxed geometry at the PBE level of DFT.

Values from the calculation:
- calculated total energy (eV per atom) = -5.4093
- total magnetic moment (μB per atom) = 0.000
- calculated volume (Å³ per atom) = 19.47
- ΔE_f (raw) (eV per atom) = -0.566
- theoretical density (Mg/m³) = 6.1

Geometry as POSCAR:
```
Ca2GaIrN
1.0
-1.939 -3.848 -2.636
-1.151 -2.372 4.309
-3.414 1.703 0.026
Ca Ir Ga N
2 1 1 1
direct
0.000 0.500 0.000
0.500 0.000 0.000
0.000 0.000 0.500
0.500 0.500 0.500
0.000 0.000 0.000
```

---

No. 11
Computed, not measured: crystalline K2InHgCl6 at its relaxed geometry at the PBE level of DFT.

Values from the calculation:
- calculated total energy (eV per atom) = -2.9121
- total magnetic moment (μB per atom) = 0.000
- calculated volume (Å³ per atom) = 30.64
- ΔE_f (raw) (eV per atom) = -1.281
- theoretical density (Mg/m³) = 3.3

Geometry as POSCAR:
```
K2InHgCl6
1.0
-4.993 -1.336 -5.451
-1.650 -7.069 -1.931
-6.827 -2.885 1.783
K In Hg Cl
2 1 1 6
direct
0.543 0.543 0.372
0.039 0.038 0.885
0.320 0.320 0.040
0.816 0.816 0.551
0.562 0.164 0.265
0.164 0.008 0.265
0.008 0.562 0.265
0.475 0.637 0.791
0.637 0.097 0.791
0.097 0.475 0.791
```

---

No. 12
Computed, not measured: crystalline TlInFeSn2 at its relaxed geometry at the PBE level of DFT.

Values from the calculation:
- calculated total energy (eV per atom) = -4.1992
- total magnetic moment (μB per atom) = 0.365
- formation enthalpy at 0 K (meV/atom) = 115
- calculated volume (Å³ per atom) = 26.12
- theoretical density (Mg/m³) = 7.8

Geometry as POSCAR:
```
TlInFeSn2
1.0
5.039 0.000 0.000
0.000 5.039 0.000
0.000 0.000 5.145
Fe Tl Sn In
1 1 2 1
direct
0.000 0.000 0.000
0.500 0.500 0.500
0.000 0.500 0.000
0.500 0.000 0.000
0.000 0.000 0.500
```